Record 1
Below is an optimized crystal structure of Th6Fe2OsCl3, with properties calculated at the GGA-PBE level.

The structure in POSCAR format:
```
Th6Fe2OsCl3
1.0
9.355 -2.109 0.000
9.355 2.109 0.000
-3.306 0.000 8.315
Th Fe Os Cl
6 2 1 3
Direct
0.019 0.019 0.226
0.316 0.316 0.452
0.342 0.342 0.877
0.658 0.658 0.123
0.684 0.684 0.548
0.981 0.981 0.774
0.169 0.169 0.335
0.831 0.831 0.665
0.500 0.500 0.000
0.168 0.168 0.833
0.500 0.500 0.500
0.832 0.832 0.167
```

Total magnetization = 0.0 μB per cell
E_form (uncorrected) = -0.778 eV/atom
Volume = 328.1 Å³ per cell
Symmetry = No. 12
Electronic total energy = -0.2681 Ha/atom


Record 2
Below is an optimized crystal structure of Th6FeOs2Cl3, with properties calculated at the GGA-PBE level.

The structure in POSCAR format:
```
Th6FeOs2Cl3
1.0
9.533 -2.108 0.000
9.533 2.108 0.000
-3.126 0.000 8.403
Th Fe Os Cl
6 1 2 3
Direct
0.011 0.011 0.209
0.322 0.322 0.447
0.354 0.354 0.892
0.646 0.646 0.108
0.678 0.678 0.553
0.989 0.989 0.791
0.500 0.500 0.000
0.166 0.166 0.332
0.834 0.834 0.668
0.162 0.162 0.830
0.500 0.500 0.500
0.838 0.838 0.170
```

Total magnetization = 0.0 μB per cell
E_form (uncorrected) = -0.834 eV/atom
Volume = 337.7 Å³ per cell
Symmetry = No. 12
Electronic total energy = -0.2786 Ha/atom